LaBe2Sb2, optimized geometry, DFT PBE; volume = 21.788 A^3/atom; formation energy (no corrections) = -0.26 eV/atom; space group = No. 139
1.0
3.991 0.000 0.000
0.000 3.991 0.000
0.000 0.000 13.676
La Be Sb
2 4 4
direct
0.000 0.000 0.000
0.500 0.500 0.500
0.000 0.500 0.250
0.000 0.500 0.750
0.500 0.000 0.250
0.500 0.000 0.750
0.000 0.000 0.364
0.000 0.000 0.636
0.500 0.500 0.136
0.500 0.500 0.864

***

Zr2ScBeN, optimized geometry, DFT PBE; volume = 16.950 A^3/atom; formation energy (no corrections) = -0.69 eV/atom; space group = No. 123
1.0
4.431 0.000 0.000
0.000 4.431 0.000
0.000 0.000 4.316
Zr Sc Be N
2 1 1 1
direct
0.000 0.500 0.000
0.500 0.000 0.000
0.000 0.000 0.500
0.500 0.500 0.500
0.000 0.000 0.000

***

TiNiHgAs2, optimized geometry, DFT PBE; volume = 20.282 A^3/atom; energy of formation from the pure elements = 212 kJ/mol of formula units; space group = No. 123
1.0
4.577 0.000 0.000
0.000 4.577 0.000
0.000 0.000 4.842
Ti Ni Hg As
1 1 1 2
direct
0.000 0.000 0.000
0.500 0.500 0.500
0.500 0.500 0.000
0.000 0.500 0.500
0.500 0.000 0.500